# Cd2CuNi

An optimized crystal structure of Cd2CuNi (GGA-PBEsol, the Alexandria database).

Output
* crystal system: tetragonal
* density: 9.7 g/cm3
* energy above the most stable polymorph in this dataset: 3 meV per atom
* energy: -3.173 eV/atom

Structure (POSCAR):
```
Cd2CuNi
1.0
4.395 0.000 0.000
-2.197 3.783 0.064
0.000 2.491 3.620
Ni Cu Cd
1 1 2
Direct
0.000 0.000 0.000 Ni
0.500 0.000 0.500 Cu
0.250 0.500 0.250 Cd
0.750 0.500 0.750 Cd
```